# 1
Material: Cs2NpTlI8
Method: DFT, PBE-GGA
State: relaxed

```
Cs2NpTlI8
1.0
9.4483 -1.2584 0.3458
-1.0613 7.2868 1.3498
0.4883 2.0070 9.9985
I Cs Np Tl
8 2 1 1
direct
0.3572 0.2663 0.3830
0.8788 0.2059 0.1551
0.7017 0.7429 0.0197
0.2983 0.2571 0.9803
0.1212 0.7941 0.8449
0.6428 0.7337 0.6170
0.0223 0.7096 0.2823
0.9777 0.2904 0.7177
0.5484 0.1586 0.7043
0.4516 0.8414 0.2957
0.0000 0.0000 0.0000
0.0000 0.0000 0.5000
```

Calculated values
M_tot: 0.168 μB per atom
Electronic total energy: -40.62 eV per cell
Formation energy from raw total energies: -0.934 eV per atom


# 2
Material: BeCrIr2
Method: DFT, PBE-GGA
State: relaxed

```
BeCrIr2
1.0
-1.1567 -3.5546 -3.1756
2.3625 -0.1806 -4.2946
0.3434 -0.1384 4.8908
Cr Ir Be
1 2 1
direct
0.2691 0.7691 0.5000
0.7240 0.2240 0.5000
0.0052 0.0052 0.0000
0.5017 0.5017 0.0000
```

Calculated values
M_tot: 0.001 μB per atom
Electronic total energy: -31.92 eV per cell
ΔH_f (0 K): -212 meV per atom


# 3
Material: MgBeS2Cl
Method: DFT, PBE-GGA
State: relaxed

```
MgBeS2Cl
1.0
4.2763 0.0000 0.0000
0.0000 4.2763 0.0000
0.0000 0.0000 4.8872
Be Cl Mg S
1 1 1 2
direct
0.0000 0.0000 0.0000
0.0000 0.0000 0.5000
0.5000 0.5000 0.5000
0.5000 0.0000 0.0000
0.0000 0.5000 0.0000
```

Calculated values
Distance to the lowest polymorph of the same formula: 0.000 eV per atom
M_tot: 0.000 μB per atom
Electronic total energy: -17.29 eV per cell
Formation energy from raw total energies: -0.374 eV per atom


# 4
Material: InReRu2
Method: DFT, PBE-GGA
State: relaxed

```
InReRu2
1.0
7.2123 0.0000 0.0000
0.0000 7.2123 0.0000
3.6061 3.6061 2.7945
Ru In Re
4 2 2
direct
0.8750 0.9269 0.7500
0.3750 0.3231 0.7500
0.6769 0.1250 0.2500
0.0731 0.6250 0.2500
0.5000 0.5000 0.0000
0.2500 0.7500 0.5000
0.7500 0.2500 0.5000
0.0000 0.0000 0.0000
```

Calculated values
M_tot: 0.000 μB per atom
Electronic total energy: -61.86 eV per cell
ΔH_f (0 K): 702 meV per atom


# 5
Material: CeDyCdTc
Method: DFT, PBE-GGA
State: relaxed

```
CeDyCdTc
1.0
5.0806 0.0000 0.0000
2.5403 4.4000 0.0000
2.5403 1.4667 4.1483
Dy Tc Cd Ce
1 1 1 1
direct
0.5000 0.5000 0.5000
0.2500 0.2500 0.2500
0.7500 0.7500 0.7500
0.0000 0.0000 0.0000
```

Calculated values
Distance to the lowest polymorph of the same formula: 0.137 eV per atom
M_tot: 0.000 μB per atom
Electronic total energy: -21.98 eV per cell
ΔH_f (0 K): -40 meV per atom


# 6
Material: Hf2MnZn6
Method: DFT, PBE-GGA
State: relaxed

```
Hf2MnZn6
1.0
-4.6683 -0.1177 3.4254
-1.7750 -4.3521 -2.5685
3.1619 -0.5262 4.2911
Zn Hf Mn
6 2 1
direct
0.1720 0.1743 0.8257
0.1720 0.1743 0.3486
0.8280 0.8257 0.1743
0.8280 0.8257 0.6514
0.8280 0.3486 0.1743
0.1720 0.6514 0.8257
0.6166 0.3333 0.6667
0.3834 0.6667 0.3333
0.5000 0.0000 0.0000
```

Calculated values
M_tot: 0.185 μB per atom
Electronic total energy: -37.72 eV per cell
ΔH_f (0 K): -111 meV per atom